# 1
A relaxed Li4PdRh3O8 crystal. Source: Alexandria, functional PBE.

**E_form (uncorrected)**: -1.132 eV per atom
**Energy**: -185.35 eV for the cell shown

Cell: 10.3377 6.1189 5.9079 Å, 90.00 121.20 90.00°
Last column: nearest neighbours and their distance in Å.
Space group C2/m (No. 12)
Symmetry-distinct sites (fractional):
Li  0.0000  0.0000  0.0000 [2 per cell]  6 O 2.17-2.33
Li  0.0000  0.5000  0.0000 [2 per cell]  6 O 2.08-2.19
Li  0.2500  0.2500  0.5000 [4 per cell]  6 O 2.17-2.35
Pd  0.0000  0.0000  0.5000 [2 per cell]  4 O 2.07
Rh  0.0000  0.5000  0.5000 [2 per cell]  6 O 2.10
Rh  0.2500  0.2500  0.0000 [4 per cell]  6 O 2.08-2.09
O  0.0157  0.2471  0.7530 [8 per cell]  1 Pd 2.07, 2 Rh 2.08-2.10, 2 Li 2.17-2.19
O  0.2356  0.5000  0.2245 [4 per cell]  2 Rh 2.08, 3 Li 2.08-2.18
O  0.2362  0.5000  0.7474 [4 per cell]  3 Rh 2.09-2.10, 3 Li 2.17-2.33

# 2
A relaxed Li2PdRhO4 crystal. Source: Alexandria, functional PBE.

**E_form (uncorrected)**: -1.105 eV per atom
**Energy**: -45.04 eV for the cell shown

Cell: 5.4735 2.9761 5.5506 Å, 90.00 110.20 90.00°
Last column: nearest neighbours and their distance in Å.
Space group P2/m (No. 10)
Symmetry-distinct sites (fractional):
Li  0.0000  0.0000  0.0000 [1 per cell]  6 O 2.15-2.20
Li  0.5000  0.5000  0.5000 [1 per cell]  4 O 2.15
Pd  0.0000  0.0000  0.5000 [1 per cell]  4 O 2.05
Rh  0.5000  0.5000  0.0000 [1 per cell]  6 O 2.03-2.04
O  0.1174  0.5000  0.7697 [2 per cell]  1 Rh 2.04, 2 Pd 2.05, 2 Li 2.20
O  0.4120  0.0000  0.2037 [2 per cell]  2 Rh 2.03, 3 Li 2.15

# 3
A relaxed Li3Pd2RhO6 crystal. Source: Alexandria, functional PBE.

**E_form (uncorrected)**: -1.004 eV per atom
**Energy**: -130.56 eV for the cell shown

Cell: 5.6060 9.1039 5.2752 Å, 90.00 114.11 90.00°
Last column: nearest neighbours and their distance in Å.
Space group C2/m (No. 12)
Symmetry-distinct sites (fractional):
Li  0.0000  0.0000  0.0000 [2 per cell]  4 O 2.17
Li  0.0000  0.3275  0.0000 [4 per cell]  6 O 2.14-2.21
Pd  0.0000  0.1672  0.5000 [4 per cell]  4 O 2.07-2.09
Rh  0.0000  0.5000  0.5000 [2 per cell]  6 O 2.06-2.09
O  0.2302  0.3343  0.7459 [8 per cell]  1 Rh 2.06, 1 Pd 2.07, 3 Li 2.14-2.21
O  0.2400  0.5000  0.2838 [4 per cell]  1 Rh 2.09, 2 Pd 2.09, 2 Li 2.21

# 4
A relaxed Li4Pd3RhO8 crystal. Source: Alexandria, functional PBE.

**E_form (uncorrected)**: -1.051 eV per atom
**Energy**: -174.12 eV for the cell shown

Cell: 10.9661 5.9410 5.5912 Å, 90.00 110.85 90.00°
Last column: nearest neighbours and their distance in Å.
Space group C2/m (No. 12)
Symmetry-distinct sites (fractional):
Li  0.0000  0.0000  0.0000 [2 per cell]  4 O 2.15
Li  0.0000  0.5000  0.0000 [2 per cell]  4 O 2.15
Li  0.2500  0.2500  0.5000 [4 per cell]  6 O 2.11-2.22
Pd  0.0000  0.0000  0.5000 [2 per cell]  6 O 2.04-2.08
Pd  0.2500  0.2500  0.0000 [4 per cell]  4 O 2.04
Rh  0.0000  0.5000  0.5000 [2 per cell]  6 O 2.02-2.04
O  0.0466  0.2503  0.2967 [8 per cell]  1 Rh 2.04, 1 Pd 2.04, 3 Li 2.11-2.15
O  0.1895  0.5000  0.7325 [4 per cell]  1 Rh 2.02, 2 Pd 2.04, 2 Li 2.22
O  0.1960  0.0000  0.7319 [4 per cell]  3 Pd 2.04-2.08, 2 Li 2.19

# 5
A relaxed Li2SbPd2O6 crystal. Source: Alexandria, functional PBE.

**E_form (uncorrected)**: -1.098 eV per atom
**Energy**: -120.32 eV for the cell shown

Cell: 5.7958 9.1340 5.4669 Å, 90.00 114.35 90.00°
Last column: nearest neighbours and their distance in Å.
Space group C2/m (No. 12)
Symmetry-distinct sites (fractional):
Li  0.0000  0.2062  0.0000 [4 per cell]  4 O 2.10-2.16
Sb  0.0000  0.0000  0.5000 [2 per cell]  6 O 2.03-2.10
Pd  0.0000  0.3331  0.5000 [4 per cell]  4 O 2.04-2.09
O  0.1944  0.1657  0.7448 [8 per cell]  1 Sb 2.03, 1 Pd 2.04, 2 Li 2.10-2.16
O  0.2426  0.0000  0.3025 [4 per cell]  2 Pd 2.09, 1 Sb 2.10

# 6
A relaxed LiSbPdO4 crystal. Source: Alexandria, functional PBE.

**E_form (uncorrected)**: -1.228 eV per atom
**Energy**: -158.64 eV for the cell shown

Cell: 5.8784 6.0735 10.2043 Å, 90.00 90.00 90.00°
Last column: nearest neighbours and their distance in Å.
Space group Imma (No. 74)
Symmetry-distinct sites (fractional):
Li  0.0000  0.2500  0.1569 [4 per cell]  4 O 2.10-2.22
Sb  0.0000  0.0000  0.5000 [4 per cell]  6 O 2.04-2.05
Pd  0.2500  0.2500  0.7500 [4 per cell]  4 O 2.06
O  0.0000  0.0262  0.7006 [8 per cell]  1 Sb 2.05, 2 Pd 2.06, 1 Li 2.22
O  0.2277  0.2500  0.4768 [8 per cell]  2 Sb 2.04, 1 Li 2.10

# 7
A relaxed Li2ScPdO crystal. Source: Alexandria, functional PBE.

**E_form (uncorrected)**: -1.383 eV per atom
**Energy**: -27.23 eV for the cell shown

Cell: 4.0395 4.0395 4.1954 Å, 90.00 90.00 90.00°
Last column: nearest neighbours and their distance in Å.
Space group P4/mmm (No. 123)
Symmetry-distinct sites (fractional):
Li  0.0000  0.5000  0.0000 [2 per cell]  2 O 2.02
Sc  0.0000  0.0000  0.5000 [1 per cell]  2 O 2.10
Pd  0.5000  0.5000  0.5000 [1 per cell]  4 Sc 2.86, 8 Li 2.91
O  0.0000  0.0000  0.0000 [1 per cell]  4 Li 2.02, 2 Sc 2.10

# 8
A relaxed LiSc2PdO crystal. Source: Alexandria, functional PBE.

**E_form (uncorrected)**: -1.523 eV per atom
**Energy**: -32.35 eV for the cell shown

Cell: 4.3986 4.3986 3.8341 Å, 90.00 90.00 90.00°
Last column: nearest neighbours and their distance in Å.
Space group P4/mmm (No. 123)
Symmetry-distinct sites (fractional):
Li  0.0000  0.0000  0.0000 [1 per cell]  2 O 1.92
Sc  0.0000  0.5000  0.5000 [2 per cell]  2 O 2.20
Pd  0.5000  0.5000  0.0000 [1 per cell]  8 Sc 2.92, 4 Li 3.11
O  0.0000  0.0000  0.5000 [1 per cell]  2 Li 1.92

# 9
A relaxed LiSc2PdO crystal. Source: Alexandria, functional PBE.

**E_form (uncorrected)**: 0.038 eV per atom
**Energy**: -24.54 eV for the cell shown

Cell: 5.0003 5.0003 4.3341 Å, 90.00 90.00 90.00°
Last column: nearest neighbours and their distance in Å.
Space group P4/mmm (No. 123)
Symmetry-distinct sites (fractional):
Li  0.0000  0.0000  0.0000 [1 per cell]  2 Pd 2.17
Sc  0.0000  0.5000  0.5000 [2 per cell]  2 Pd 2.50
Pd  0.0000  0.0000  0.5000 [1 per cell]  2 Li 2.17
O  0.5000  0.5000  0.0000 [1 per cell]  8 Sc 3.31, 4 Li 3.54

# 10
A relaxed Li2PdSeO crystal. Source: Alexandria, functional PBE.

**E_form (uncorrected)**: -0.860 eV per atom
**Energy**: -21.77 eV for the cell shown

Cell: 3.7636 3.7636 4.8760 Å, 90.00 90.00 90.00°
Last column: nearest neighbours and their distance in Å.
Space group P4/mmm (No. 123)
Symmetry-distinct sites (fractional):
Li  0.0000  0.5000  0.0000 [2 per cell]  2 O 1.88
Pd  0.0000  0.0000  0.5000 [1 per cell]  4 Se 2.66
Se  0.5000  0.5000  0.5000 [1 per cell]  2 O 2.44, 4 Pd 2.66
O  0.5000  0.5000  0.0000 [1 per cell]  4 Li 1.88

# 11
A relaxed Li2SiPdO4 crystal. Source: Alexandria, functional PBE.

**E_form (uncorrected)**: -1.836 eV per atom
**Energy**: -97.92 eV for the cell shown

Cell: 5.5287 5.5287 5.4338 Å, 90.00 90.00 90.00°
Last column: nearest neighbours and their distance in Å.
Space group I-4 (No. 82)
Symmetry-distinct sites (fractional):
Li  0.0000  0.0000  0.0000 [2 per cell]  4 O 2.10
Li  0.0000  0.5000  0.2500 [2 per cell]  4 O 2.10
Si  0.0000  0.5000  0.7500 [2 per cell]  4 O 1.67
Pd  0.0000  0.0000  0.5000 [2 per cell]  4 O 2.07
O  0.1629  0.6666  0.5555 [8 per cell]  1 Si 1.67

# 12
A relaxed LiSiPdO2 crystal. Source: Alexandria, functional PBE.

**E_form (uncorrected)**: 0.168 eV per atom
**Energy**: -21.60 eV for the cell shown

Cell: 3.6189 3.6189 4.6045 Å, 90.00 90.00 90.00°
Last column: nearest neighbours and their distance in Å.
Space group P4/mmm (No. 123)
Symmetry-distinct sites (fractional):
Li  0.0000  0.0000  0.0000 [1 per cell]  4 O 1.81
Si  0.0000  0.0000  0.5000 [1 per cell]  2 Li 2.30, 4 Pd 2.56
Pd  0.5000  0.5000  0.5000 [1 per cell]  4 Si 2.56
O  0.0000  0.5000  0.0000 [2 per cell]  2 Li 1.81

# 13
A relaxed Li2SmPdO4 crystal. Source: Alexandria, functional PBE.

**E_form (uncorrected)**: -1.669 eV per atom
**Energy**: -93.84 eV for the cell shown

Cell: 5.4428 5.4428 6.1622 Å, 90.00 90.00 90.00°
Last column: nearest neighbours and their distance in Å.
Space group I-42m (No. 121)
Symmetry-distinct sites (fractional):
Li  0.0000  0.5000  0.2500 [4 per cell]  4 O 1.97
Sm  0.0000  0.0000  0.0000 [2 per cell]  4 O 2.35
Pd  0.0000  0.0000  0.5000 [2 per cell]  4 O 2.13
O  0.2331  0.2331  0.3146 [8 per cell]  2 Li 1.97, 1 Pd 2.13

# 14
A relaxed Li3SnPd3O8 crystal. Source: Alexandria, functional PBE.

**E_form (uncorrected)**: -1.030 eV per atom
**Energy**: -160.87 eV for the cell shown

Cell: 11.3177 6.0565 5.9316 Å, 90.00 120.68 90.00°
Last column: nearest neighbours and their distance in Å.
Space group C2/m (No. 12)
Symmetry-distinct sites (fractional):
Li  0.0000  0.0000  0.0000 [2 per cell]  6 O 2.03-2.26
Li  0.2500  0.2500  0.5000 [4 per cell]  4 O 2.08-2.26
Sn  0.0000  0.0000  0.5000 [2 per cell]  6 O 2.10-2.13
Pd  0.0000  0.5000  0.5000 [2 per cell]  4 O 2.03
Pd  0.2500  0.2500  0.0000 [4 per cell]  6 O 2.06-2.21
O  0.0328  0.2573  0.7620 [8 per cell]  2 Pd 2.03-2.12, 1 Sn 2.10, 1 Li 2.26
O  0.2087  0.0000  0.1855 [4 per cell]  3 Li 2.03-2.26, 2 Pd 2.06
O  0.2192  0.0000  0.7040 [4 per cell]  2 Li 2.08, 1 Sn 2.13, 2 Pd 2.21

# 15
A relaxed LiSnPdO4 crystal. Source: Alexandria, functional PBE.

**E_form (uncorrected)**: -1.252 eV per atom
**Energy**: -158.83 eV for the cell shown

Cell: 6.1098 6.2655 9.2398 Å, 90.00 90.00 90.00°
Last column: nearest neighbours and their distance in Å.
Space group Imma (No. 74)
Symmetry-distinct sites (fractional):
Li  0.0000  0.2500  0.1287 [4 per cell]  4 O 2.02-2.18
Sn  0.0000  0.0000  0.5000 [4 per cell]  6 O 2.10-2.13
Pd  0.2500  0.2500  0.7500 [4 per cell]  4 O 2.08
O  0.0000  0.0274  0.7298 [8 per cell]  2 Pd 2.08, 1 Sn 2.13, 1 Li 2.18
O  0.2290  0.2500  0.4969 [8 per cell]  1 Li 2.02, 2 Sn 2.10

# 16
A relaxed SrLi2PdO crystal. Source: Alexandria, functional PBE.

**E_form (uncorrected)**: -1.137 eV per atom
**Energy**: -21.35 eV for the cell shown

Cell: 4.1934 4.1934 4.9983 Å, 90.00 90.00 90.00°
Last column: nearest neighbours and their distance in Å.
Space group P4/mmm (No. 123)
Symmetry-distinct sites (fractional):
Sr  0.0000  0.0000  0.0000 [1 per cell]  2 O 2.50
Li  0.0000  0.5000  0.5000 [2 per cell]  2 O 2.10
Pd  0.5000  0.5000  0.0000 [1 per cell]  4 Sr 2.97, 8 Li 3.26
O  0.0000  0.0000  0.5000 [1 per cell]  4 Li 2.10

# 17
A relaxed Sr2Li3PdO6 crystal. Source: Alexandria, functional PBE.

**E_form (uncorrected)**: -1.691 eV per atom
**Energy**: -128.68 eV for the cell shown

Cell: 5.7296 10.8544 5.2227 Å, 90.00 108.60 90.00°
Last column: nearest neighbours and their distance in Å.
Space group C2/m (No. 12)
Symmetry-distinct sites (fractional):
Sr  0.0000  0.1712  0.0000 [4 per cell]  6 O 2.48-2.58
Li  0.0000  0.0000  0.5000 [2 per cell]  6 O 2.28-2.40
Li  0.0000  0.3915  0.5000 [4 per cell]  4 O 1.97-2.03
Pd  0.0000  0.5000  0.0000 [2 per cell]  6 O 2.05
O  0.2057  0.3669  0.2521 [8 per cell]  1 Li 2.03, 1 Pd 2.05
O  0.2295  0.5000  0.7676 [4 per cell]  2 Li 1.97, 1 Pd 2.05

# 18
A relaxed Sr2LiPdO crystal. Source: Alexandria, functional PBE.

**E_form (uncorrected)**: -1.288 eV per atom
**Energy**: -21.87 eV for the cell shown

Cell: 5.1484 5.1484 4.0452 Å, 90.00 90.00 90.00°
Last column: nearest neighbours and their distance in Å.
Space group P4/mmm (No. 123)
Symmetry-distinct sites (fractional):
Sr  0.0000  0.5000  0.0000 [2 per cell]  2 O 2.57
Li  0.0000  0.0000  0.5000 [1 per cell]  2 O 2.02
Pd  0.5000  0.5000  0.5000 [1 per cell]  8 Sr 3.27, 4 Li 3.64
O  0.0000  0.0000  0.0000 [1 per cell]  2 Li 2.02

# 19
A relaxed Sr3Li2PdO6 crystal. Source: Alexandria, functional PBE.

**E_form (uncorrected)**: -1.868 eV per atom
**Energy**: -66.23 eV for the cell shown

Cell: 5.7521 5.7521 6.2831 Å, 90.00 90.00 120.00°
Last column: nearest neighbours and their distance in Å.
Space group P-3m1 (No. 164)
Symmetry-distinct sites (fractional):
Sr  0.0000  0.0000  0.0000 [1 per cell]  6 O 2.52
Sr  0.3333  0.6667  0.6191 [2 per cell]  3 O 2.59, 1 Li 2.65
Li  0.3333  0.6667  0.1974 [2 per cell]  3 O 1.81
Pd  0.0000  0.0000  0.5000 [1 per cell]  6 O 2.04
O  0.1644  0.3288  0.3052 [6 per cell]  1 Li 1.81

# 20
A relaxed Sr2Li2PdO4 crystal. Source: Alexandria, functional PBE.

**E_form (uncorrected)**: -1.879 eV per atom
**Energy**: -98.26 eV for the cell shown

Cell: 13.3933 3.2615 5.5407 Å, 90.00 94.02 90.00°
Last column: nearest neighbours and their distance in Å.
Space group C2/m (No. 12)
Symmetry-distinct sites (fractional):
Sr  0.1323  0.0000  0.0402 [4 per cell]  5 O 2.42-2.62
Li  0.1925  0.5000  0.5839 [4 per cell]  3 O 1.97-2.05
Pd  0.0000  0.0000  0.5000 [2 per cell]  4 O 2.11
O  0.0417  0.5000  0.7258 [4 per cell]  2 Pd 2.11, 1 Li 2.22
O  0.2391  0.5000  0.2536 [4 per cell]  3 Li 1.97-2.05

# 21
A relaxed LiTb2PdO6 crystal. Source: Alexandria, functional PBE.

**E_form (uncorrected)**: -2.178 eV per atom
**Energy**: -135.78 eV for the cell shown

Cell: 5.3262 5.7829 9.1789 Å, 90.00 124.72 90.00°
Last column: nearest neighbours and their distance in Å.
Space group P2_1/c (No. 14)
Symmetry-distinct sites (fractional):
Li  0.0000  0.0000  0.0000 [2 per cell]  6 O 2.01-2.13
Tb  0.2259  0.0846  0.7483 [4 per cell]  6 O 2.26-2.50
Pd  0.5000  0.0000  0.5000 [2 per cell]  6 O 1.99-2.02
O  0.1325  0.1835  0.4430 [4 per cell]  1 Pd 2.02, 1 Li 2.13
O  0.2658  0.7011  0.4402 [4 per cell]  1 Pd 2.02, 1 Li 2.13
O  0.3696  0.0397  0.2503 [4 per cell]  1 Pd 1.99, 1 Li 2.01

# 22
A relaxed Li2TbPdO4 crystal. Source: Alexandria, functional PBE.

**E_form (uncorrected)**: -1.847 eV per atom
**Energy**: -48.26 eV for the cell shown

Cell: 5.2766 3.3730 5.3690 Å, 90.00 107.55 90.00°
Last column: nearest neighbours and their distance in Å.
Space group P2/m (No. 10)
Symmetry-distinct sites (fractional):
Li  0.0000  0.0000  0.0000 [1 per cell]  6 O 2.19-2.37
Li  0.5000  0.5000  0.0000 [1 per cell]  2 O 2.04
Tb  0.0000  0.5000  0.5000 [1 per cell]  6 O 2.26-2.28
Pd  0.5000  0.0000  0.5000 [1 per cell]  6 O 2.10-2.25
O  0.2504  0.0000  0.7397 [2 per cell]  1 Pd 2.10, 3 Li 2.19-2.33, 2 Tb 2.28
O  0.2781  0.5000  0.2515 [2 per cell]  1 Li 2.04, 2 Pd 2.25, 1 Tb 2.26